# 1
The following is a DFT calculation (PBE) of crystalline CsLiZnS2 at its relaxed geometry.

Output
- calculated volume (Å³ per atom) = 23.8
- density (g cm⁻³) = 3.761
- raw total energy (Ry/atom) = -0.264
- space-group type = I-4m2

a = 4.084 Å, b = 4.084 Å, c = 7.694 Å
α = 105.39°, β = 105.39°, γ = 90.00°
Positions (direct):
1 Cs 0.000 0.000 0.000
2 Zn 0.250 0.750 0.500
3 S 0.342 0.342 0.684
4 S 0.658 0.658 0.316
5 Li 0.750 0.250 0.500

# 2
The following is a DFT calculation (PBE) of crystalline Tb7Pm2Ho2 at its relaxed geometry.

Output
- calculated volume (Å³ per atom) = 32.9
- density (g cm⁻³) = 7.954
- raw total energy (Ry/atom) = -0.330
- space-group type = C2/m
- E_form (eV per atom) = 0.15
- ΔE to the lowest computed polymorph (meV per atom) = 33.9

a = 6.074 Å, b = 8.055 Å, c = 8.055 Å
α = 91.17°, β = 73.88°, γ = 73.88°
Positions (direct):
1 Tb 0.178 0.060 0.588
2 Tb 0.822 0.412 0.940
3 Tb 0.822 0.940 0.412
4 Tb 0.178 0.588 0.060
5 Tb 0.000 0.000 0.000
6 Tb 0.584 0.772 0.772
7 Tb 0.416 0.228 0.228
8 Pm 0.804 0.413 0.413
9 Pm 0.196 0.587 0.587
10 Ho 0.500 0.216 0.784
11 Ho 0.500 0.784 0.216

- Among the records above, which one has the highest calculated volume?
  Tb7Pm2Ho2

- Which of these has the highest raw total energy?
  CsLiZnS2